Entry 1:
# PBE NaYZr2Rh, relaxed
data_NaYZr2Rh
_symmetry_space_group_name_H-M 'P 1'
_symmetry_Int_Tables_number 1
_cell_length_a 4.988
_cell_length_b 4.774
_cell_length_c 4.988
_cell_angle_alpha 90.00
_cell_angle_beta 90.00
_cell_angle_gamma 90.00
loop_
_symmetry_equiv_pos_as_xyz
'x,y,z'
loop_
_atom_site_label
_atom_site_fract_x
_atom_site_fract_y
_atom_site_fract_z
Rh1 0.000 0.500 0.000
Y1 0.500 0.500 0.500
Zr1 0.500 0.000 0.000
Zr2 0.000 0.000 0.500
Na1 0.000 0.000 0.000
# * N(E_F): 8.16 states/eV per cell
# * symmetry: P4/mmm (123)
# * calculated volume: 119 Å³ per cell

---

Entry 2:
# PBE Sc2GaAs, relaxed
data_Sc2GaAs
_symmetry_space_group_name_H-M 'P 1'
_symmetry_Int_Tables_number 1
_cell_length_a 9.103
_cell_length_b 9.103
_cell_length_c 9.103
_cell_angle_alpha 23.07
_cell_angle_beta 23.07
_cell_angle_gamma 23.07
loop_
_symmetry_equiv_pos_as_xyz
'x,y,z'
loop_
_atom_site_label
_atom_site_fract_x
_atom_site_fract_y
_atom_site_fract_z
Sc1 0.107 0.107 0.107
Sc2 0.893 0.893 0.893
Ga1 0.000 0.000 0.000
As1 0.500 0.500 0.500
# * N(E_F): 3.35 states/eV per cell
# * symmetry: R-3m (166)
# * calculated volume: 102 Å³ per cell
# * energy relative to the lowest polymorph listed for this composition: 0.578 eV per atom

---

Entry 3:
# PBE La3Pm4Bi8, relaxed
data_La3Pm4Bi8
_symmetry_space_group_name_H-M 'P 1'
_symmetry_Int_Tables_number 1
_cell_length_a 9.166
_cell_length_b 9.240
_cell_length_c 9.240
_cell_angle_alpha 90.06
_cell_angle_beta 119.68
_cell_angle_gamma 119.68
loop_
_symmetry_equiv_pos_as_xyz
'x,y,z'
loop_
_atom_site_label
_atom_site_fract_x
_atom_site_fract_y
_atom_site_fract_z
Pm1 0.000 0.500 0.000
Pm2 0.000 0.000 0.000
Pm3 0.000 0.000 0.500
Pm4 0.500 0.000 0.000
La1 0.500 0.500 0.500
La2 0.500 0.000 0.500
La3 0.500 0.500 0.000
Bi1 0.500 0.247 0.247
Bi2 0.500 0.752 0.248
Bi3 0.000 0.749 0.251
Bi4 0.995 0.249 0.249
Bi5 0.500 0.753 0.753
Bi6 0.500 0.248 0.752
Bi7 0.005 0.751 0.751
Bi8 0.000 0.251 0.749
# * N(E_F): 9.13 states/eV per cell
# * symmetry: C2/m (12)
# * calculated volume: 558 Å³ per cell

---

Entry 4:
# PBE Y4AsPbS2, relaxed
data_Y4AsPbS2
_symmetry_space_group_name_H-M 'P 1'
_symmetry_Int_Tables_number 1
_cell_length_a 4.077
_cell_length_b 7.133
_cell_length_c 7.188
_cell_angle_alpha 70.66
_cell_angle_beta 90.00
_cell_angle_gamma 90.00
loop_
_symmetry_equiv_pos_as_xyz
'x,y,z'
loop_
_atom_site_label
_atom_site_fract_x
_atom_site_fract_y
_atom_site_fract_z
Y1 0.500 0.243 0.743
Y2 0.000 0.767 0.732
Y3 0.500 0.757 0.257
Y4 0.000 0.233 0.268
S1 0.000 0.000 0.000
S2 0.500 0.000 0.500
As1 0.000 0.500 0.500
Pb1 0.500 0.500 0.000
# * N(E_F): 2.80 states/eV per cell
# * symmetry: P2/m (10)
# * formation energy without anion corrections: -1.47 eV/atom
# * calculated volume: 197 Å³ per cell

---

Entry 5:
# PBE NiPd2PtRh, relaxed
data_NiPd2PtRh
_symmetry_space_group_name_H-M 'P 1'
_symmetry_Int_Tables_number 1
_cell_length_a 4.500
_cell_length_b 4.378
_cell_length_c 4.500
_cell_angle_alpha 90.00
_cell_angle_beta 90.00
_cell_angle_gamma 90.00
loop_
_symmetry_equiv_pos_as_xyz
'x,y,z'
loop_
_atom_site_label
_atom_site_fract_x
_atom_site_fract_y
_atom_site_fract_z
Pt1 0.500 0.500 0.500
Rh1 0.000 0.500 0.000
Ni1 0.000 0.000 0.000
Pd1 0.000 0.000 0.500
Pd2 0.500 0.000 0.000
# * N(E_F): 8.05 states/eV per cell
# * symmetry: P4/mmm (123)
# * calculated volume: 89 Å³ per cell

---

Entry 6:
# PBE Nd2ZnGa3, relaxed
data_Nd2ZnGa3
_symmetry_space_group_name_H-M 'P 1'
_symmetry_Int_Tables_number 1
_cell_length_a 5.938
_cell_length_b 5.938
_cell_length_c 8.822
_cell_angle_alpha 111.82
_cell_angle_beta 111.82
_cell_angle_gamma 84.01
loop_
_symmetry_equiv_pos_as_xyz
'x,y,z'
loop_
_atom_site_label
_atom_site_fract_x
_atom_site_fract_y
_atom_site_fract_z
Zn1 0.667 0.667 0.334
Zn2 0.333 0.333 0.666
Ga1 0.167 0.167 0.833
Ga2 0.334 0.334 0.167
Ga3 0.833 0.833 0.666
Ga4 0.833 0.833 0.167
Ga5 0.167 0.167 0.334
Ga6 0.666 0.666 0.833
Nd1 0.750 0.250 0.000
Nd2 0.750 0.250 0.500
Nd3 0.250 0.750 0.000
Nd4 0.250 0.750 0.500
# * N(E_F): 7.79 states/eV per cell
# * symmetry: Fmmm (69)
# * calculated volume: 268 Å³ per cell
# * energy relative to the lowest polymorph listed for this composition: 0.000 eV per atom

---

Per-record E, eV per atom: -5.390, -5.489, -5.090, -6.783, -4.909, -3.922